Tb2Dy15Y2: optimized geometry, GGA-PBE.

Magnetization (μB per formula unit): 0.000
Formation energy (eV per atom): 0.285

```
data_Tb2Dy15Y2
_symmetry_space_group_name_H-M 'R -3 m'
_symmetry_Int_Tables_number 166
_symmetry_space_group_name_Hall '-R 3 2"'
_cell_length_a 11.1385
_cell_length_b 11.1385
_cell_length_c 17.6316
_cell_angle_alpha 90.00
_cell_angle_beta 90.00
_cell_angle_gamma 120.00
loop_
_atom_site_label
_atom_site_type_symbol
_atom_site_fract_x
_atom_site_fract_y
_atom_site_fract_z
_atom_site_occupancy
Tb1 Tb 0.0000 0.0000 0.1776 1
Dy1 Dy 0.0000 0.2987 0.5000 1
Dy2 Dy 0.0000 0.5000 0.0000 1
Dy3 Dy 0.0141 0.5071 0.6356 1
Y1 Y 0.0000 0.0000 0.4034 1
```

Tb5DyY2: optimized geometry, GGA-PBE.

Magnetization (μB per formula unit): 0.000
Formation energy (eV per atom): 0.147

```
data_Tb5DyY2
_symmetry_space_group_name_H-M 'P -1'
_symmetry_Int_Tables_number 2
_symmetry_space_group_name_Hall '-P 1'
_cell_length_a 6.637
_cell_length_b 8.857
_cell_length_c 9.488
_cell_angle_alpha 90.81
_cell_angle_beta 96.38
_cell_angle_gamma 109.86
loop_
_atom_site_label
_atom_site_type_symbol
_atom_site_fract_x
_atom_site_fract_y
_atom_site_fract_z
_atom_site_occupancy
Tb1 Tb 0.057 0.267 0.376 1
Tb2 Tb 0.216 0.017 0.109 1
Tb3 Tb 0.262 0.984 0.443 1
Tb4 Tb 0.274 0.738 0.909 1
Tb5 Tb 0.367 0.187 0.764 1
Dy1 Dy 0.055 0.632 0.256 1
Y1 Y 0.287 0.405 0.079 1
Y2 Y 0.389 0.621 0.585 1
```

TbDy5Y4: optimized geometry, GGA-PBE.

Magnetization (μB per formula unit): 0.000
Formation energy (eV per atom): 0.180

```
data_TbDy5Y4
_symmetry_space_group_name_H-M 'C 1 2 1'
_symmetry_Int_Tables_number 5
_symmetry_space_group_name_Hall 'C 2y'
_cell_length_a 11.820
_cell_length_b 6.320
_cell_length_c 10.121
_cell_angle_alpha 90.00
_cell_angle_beta 121.58
_cell_angle_gamma 90.00
loop_
_atom_site_label
_atom_site_type_symbol
_atom_site_fract_x
_atom_site_fract_y
_atom_site_fract_z
_atom_site_occupancy
Tb1 Tb 0.000 0.000 0.000 1
Dy1 Dy 0.000 0.451 0.000 1
Dy2 Dy 0.122 0.726 0.316 1
Dy3 Dy 0.241 0.225 0.927 1
Y1 Y 0.059 0.226 0.388 1
Y2 Y 0.178 0.726 0.688 1
```

TbDy5Y6: optimized geometry, GGA-PBE.

Magnetization (μB per formula unit): 0.000
Formation energy (eV per atom): 0.020

```
data_TbDy5Y6
_symmetry_space_group_name_H-M 'C 1 2/m 1'
_symmetry_Int_Tables_number 12
_symmetry_space_group_name_Hall '-C 2y'
_cell_length_a 6.165
_cell_length_b 10.666
_cell_length_c 11.792
_cell_angle_alpha 90.00
_cell_angle_beta 99.98
_cell_angle_gamma 90.00
loop_
_atom_site_label
_atom_site_type_symbol
_atom_site_fract_x
_atom_site_fract_y
_atom_site_fract_z
_atom_site_occupancy
Tb1 Tb 0.000 0.000 0.000 1
Dy1 Dy 0.000 0.167 0.500 1
Dy2 Dy 0.000 0.333 0.000 1
Dy3 Dy 0.000 0.500 0.500 1
Y1 Y 0.250 0.000 0.750 1
Y2 Y 0.250 0.167 0.250 1
```

TbDy14Y: optimized geometry, GGA-PBE.

Magnetization (μB per formula unit): 0.000
Formation energy (eV per atom): 0.002

```
data_TbDy14Y
_symmetry_space_group_name_H-M 'A m m 2'
_symmetry_Int_Tables_number 38
_symmetry_space_group_name_Hall 'A 2 -2'
_cell_length_a 11.455
_cell_length_b 7.123
_cell_length_c 12.335
_cell_angle_alpha 90.00
_cell_angle_beta 90.00
_cell_angle_gamma 90.00
loop_
_atom_site_label
_atom_site_type_symbol
_atom_site_fract_x
_atom_site_fract_y
_atom_site_fract_z
_atom_site_occupancy
Tb1 Tb 0.000 0.000 0.000 1
Dy1 Dy 0.000 0.250 0.250 1
Dy2 Dy 0.250 0.000 0.167 1
Dy3 Dy 0.250 0.000 0.667 1
Dy4 Dy 0.251 0.250 0.417 1
Dy5 Dy 0.500 0.000 0.334 1
Dy6 Dy 0.500 0.000 0.834 1
Dy7 Dy 0.500 0.250 0.084 1
Y1 Y 0.000 0.000 0.500 1
```

Tb3Dy8Y3: optimized geometry, GGA-PBE.

Magnetization (μB per formula unit): 0.000
Formation energy (eV per atom): 0.115

```
data_Tb3Dy8Y3
_symmetry_space_group_name_H-M 'I m m m'
_symmetry_Int_Tables_number 71
_symmetry_space_group_name_Hall '-I 2 2'
_cell_length_a 5.616
_cell_length_b 10.810
_cell_length_c 14.884
_cell_angle_alpha 90.00
_cell_angle_beta 90.00
_cell_angle_gamma 90.00
loop_
_atom_site_label
_atom_site_type_symbol
_atom_site_fract_x
_atom_site_fract_y
_atom_site_fract_z
_atom_site_occupancy
Tb1 Tb 0.000 0.000 0.000 1
Tb2 Tb 0.000 0.500 0.317 1
Dy1 Dy 0.000 0.159 0.277 1
Dy2 Dy 0.000 0.342 0.104 1
Y1 Y 0.000 0.000 0.500 1
Y2 Y 0.000 0.299 0.500 1
```

Tb6DyY12: optimized geometry, GGA-PBE.

Magnetization (μB per formula unit): 0.000
Formation energy (eV per atom): 0.254

```
data_Tb6DyY12
_symmetry_space_group_name_H-M 'R -3'
_symmetry_Int_Tables_number 148
_symmetry_space_group_name_Hall '-R 3'
_cell_length_a 14.6780
_cell_length_b 14.6780
_cell_length_c 10.3335
_cell_angle_alpha 90.00
_cell_angle_beta 90.00
_cell_angle_gamma 120.00
loop_
_atom_site_label
_atom_site_type_symbol
_atom_site_fract_x
_atom_site_fract_y
_atom_site_fract_z
_atom_site_occupancy
Tb1 Tb 0.0525 0.8393 0.2615 1
Dy1 Dy 0.0000 0.0000 0.5000 1
Y1 Y 0.0551 0.7993 0.5810 1
Y2 Y 0.0657 0.8394 0.9166 1
```

TbDy4Y2: optimized geometry, GGA-PBE.

Magnetization (μB per formula unit): 0.000
Formation energy (eV per atom): 0.133

```
data_TbDy4Y2
_symmetry_space_group_name_H-M 'P 1 21/m 1'
_symmetry_Int_Tables_number 11
_symmetry_space_group_name_Hall '-P 2yb'
_cell_length_a 6.217
_cell_length_b 6.498
_cell_length_c 11.489
_cell_angle_alpha 90.00
_cell_angle_beta 105.32
_cell_angle_gamma 90.00
loop_
_atom_site_label
_atom_site_type_symbol
_atom_site_fract_x
_atom_site_fract_y
_atom_site_fract_z
_atom_site_occupancy
Tb1 Tb 0.006 0.250 0.340 1
Dy1 Dy 0.168 0.250 0.642 1
Dy2 Dy 0.305 0.750 0.944 1
Dy3 Dy 0.367 0.001 0.213 1
Y1 Y 0.133 0.250 0.930 1
Y2 Y 0.387 0.750 0.498 1
```

TbDyY: optimized geometry, GGA-PBE.

Magnetization (μB per formula unit): 0.000
Formation energy (eV per atom): 0.062

```
data_TbDyY
_symmetry_space_group_name_H-M 'P -6 m 2'
_symmetry_Int_Tables_number 187
_symmetry_space_group_name_Hall 'P -6 2'
_cell_length_a 5.6017
_cell_length_b 5.6017
_cell_length_c 3.5160
_cell_angle_alpha 90.00
_cell_angle_beta 90.00
_cell_angle_gamma 120.00
loop_
_atom_site_label
_atom_site_type_symbol
_atom_site_fract_x
_atom_site_fract_y
_atom_site_fract_z
_atom_site_occupancy
Tb1 Tb 0.0000 0.0000 0.0000 1
Dy1 Dy 0.6667 0.3333 0.0000 1
Y1 Y 0.3333 0.6667 0.5000 1
```

Tb8DyY5: optimized geometry, GGA-PBE.

Magnetization (μB per formula unit): 0.000
Formation energy (eV per atom): 0.262

```
data_Tb8DyY5
_symmetry_space_group_name_H-M 'I -4'
_symmetry_Int_Tables_number 82
_symmetry_space_group_name_Hall 'I -4'
_cell_length_a 9.581
_cell_length_b 9.581
_cell_length_c 10.149
_cell_angle_alpha 90.00
_cell_angle_beta 90.00
_cell_angle_gamma 90.00
loop_
_atom_site_label
_atom_site_type_symbol
_atom_site_fract_x
_atom_site_fract_y
_atom_site_fract_z
_atom_site_occupancy
Tb1 Tb 0.069 0.326 0.096 1
Tb2 Tb 0.090 0.175 0.753 1
Dy1 Dy 0.000 0.500 0.750 1
Y1 Y 0.000 0.000 0.000 1
Y2 Y 0.112 0.208 0.425 1
```

Tb2Dy2Y3: optimized geometry, GGA-PBE.

Magnetization (μB per formula unit): 0.000
Formation energy (eV per atom): 0.120

```
data_Tb2Dy2Y3
_symmetry_space_group_name_H-M 'C 1 2/m 1'
_symmetry_Int_Tables_number 12
_symmetry_space_group_name_Hall '-C 2y'
_cell_length_a 17.432
_cell_length_b 3.500
_cell_length_c 8.566
_cell_angle_alpha 90.00
_cell_angle_beta 119.31
_cell_angle_gamma 90.00
loop_
_atom_site_label
_atom_site_type_symbol
_atom_site_fract_x
_atom_site_fract_y
_atom_site_fract_z
_atom_site_occupancy
Tb1 Tb 0.065 0.000 0.409 1
Dy1 Dy 0.147 0.500 0.825 1
Y1 Y 0.000 0.500 0.000 1
Y2 Y 0.212 0.500 0.301 1
```

Tb3Dy7Y: optimized geometry, GGA-PBE.

Magnetization (μB per formula unit): 0.000
Formation energy (eV per atom): 0.143

```
data_Tb3Dy7Y
_symmetry_space_group_name_H-M 'P 1 2/m 1'
_symmetry_Int_Tables_number 10
_symmetry_space_group_name_Hall '-P 2y'
_cell_length_a 6.975
_cell_length_b 5.523
_cell_length_c 9.891
_cell_angle_alpha 90.00
_cell_angle_beta 110.32
_cell_angle_gamma 90.00
loop_
_atom_site_label
_atom_site_type_symbol
_atom_site_fract_x
_atom_site_fract_y
_atom_site_fract_z
_atom_site_occupancy
Tb1 Tb 0.000 0.000 0.000 1
Tb2 Tb 0.219 0.500 0.501 1
Dy1 Dy 0.082 0.000 0.670 1
Dy2 Dy 0.180 0.500 0.859 1
Dy3 Dy 0.353 0.500 0.210 1
Dy4 Dy 0.500 0.000 0.500 1
Y1 Y 0.500 0.000 0.000 1
```

Tb6DyY4: optimized geometry, GGA-PBE.

Magnetization (μB per formula unit): 0.000
Formation energy (eV per atom): 0.128

```
data_Tb6DyY4
_symmetry_space_group_name_H-M 'C m c m'
_symmetry_Int_Tables_number 63
_symmetry_space_group_name_Hall '-C 2c 2'
_cell_length_a 5.725
_cell_length_b 9.668
_cell_length_c 25.661
_cell_angle_alpha 90.00
_cell_angle_beta 90.00
_cell_angle_gamma 90.00
loop_
_atom_site_label
_atom_site_type_symbol
_atom_site_fract_x
_atom_site_fract_y
_atom_site_fract_z
_atom_site_occupancy
Tb1 Tb 0.000 0.000 0.000 1
Tb2 Tb 0.000 0.027 0.250 1
Tb3 Tb 0.000 0.307 0.604 1
Tb4 Tb 0.000 0.361 0.182 1
Dy1 Dy 0.000 0.308 0.750 1
Y1 Y 0.000 0.032 0.122 1
Y2 Y 0.000 0.345 0.043 1
```

Tb7Dy6Y16: optimized geometry, GGA-PBE.

Magnetization (μB per formula unit): 0.013
Formation energy (eV per atom): 0.253

```
data_Tb7Dy6Y16
_symmetry_space_group_name_H-M 'F m -3 m'
_symmetry_Int_Tables_number 225
_symmetry_space_group_name_Hall '-F 4 2 3'
_cell_length_a 15.790
_cell_length_b 15.790
_cell_length_c 15.790
_cell_angle_alpha 90.00
_cell_angle_beta 90.00
_cell_angle_gamma 90.00
loop_
_atom_site_label
_atom_site_type_symbol
_atom_site_fract_x
_atom_site_fract_y
_atom_site_fract_z
_atom_site_occupancy
Tb1 Tb 0.000 0.000 0.000 1
Tb2 Tb 0.000 0.250 0.250 1
Dy1 Dy 0.000 0.000 0.272 1
Y1 Y 0.124 0.124 0.124 1
Y2 Y 0.151 0.151 0.349 1
```

TbDy12Y5: optimized geometry, GGA-PBE.

Magnetization (μB per formula unit): 0.000
Formation energy (eV per atom): 0.020

```
data_TbDy12Y5
_symmetry_space_group_name_H-M 'C m m m'
_symmetry_Int_Tables_number 65
_symmetry_space_group_name_Hall '-C 2 2'
_cell_length_a 15.053
_cell_length_b 15.080
_cell_length_c 5.020
_cell_angle_alpha 90.00
_cell_angle_beta 90.00
_cell_angle_gamma 90.00
loop_
_atom_site_label
_atom_site_type_symbol
_atom_site_fract_x
_atom_site_fract_y
_atom_site_fract_z
_atom_site_occupancy
Tb1 Tb 0.000 0.000 0.000 1
Dy1 Dy 0.167 0.000 0.500 1
Dy2 Dy 0.167 0.166 0.000 1
Dy3 Dy 0.168 0.333 0.500 1
Dy4 Dy 0.168 0.500 0.000 1
Y1 Y 0.000 0.166 0.500 1
Y2 Y 0.000 0.333 0.000 1
Y3 Y 0.000 0.500 0.500 1
```

Tb3Dy5Y4: optimized geometry, GGA-PBE.

Magnetization (μB per formula unit): 0.000
Formation energy (eV per atom): 0.019

```
data_Tb3Dy5Y4
_symmetry_space_group_name_H-M 'P -1'
_symmetry_Int_Tables_number 2
_symmetry_space_group_name_Hall '-P 1'
_cell_length_a 6.157
_cell_length_b 7.115
_cell_length_c 8.704
_cell_angle_alpha 90.01
_cell_angle_beta 90.08
_cell_angle_gamma 90.11
loop_
_atom_site_label
_atom_site_type_symbol
_atom_site_fract_x
_atom_site_fract_y
_atom_site_fract_z
_atom_site_occupancy
Tb1 Tb 0.000 0.000 0.000 1
Tb2 Tb 0.167 0.751 0.667 1
Dy1 Dy 0.000 0.500 0.000 1
Dy2 Dy 0.334 0.000 0.333 1
Dy3 Dy 0.499 0.750 0.999 1
Y1 Y 0.167 0.249 0.667 1
Y2 Y 0.333 0.500 0.333 1
```

Tb2Dy9Y: optimized geometry, GGA-PBE.

Magnetization (μB per formula unit): 0.000
Formation energy (eV per atom): 0.050

```
data_Tb2Dy9Y
_symmetry_space_group_name_H-M 'P 6/m m m'
_symmetry_Int_Tables_number 191
_symmetry_space_group_name_Hall '-P 6 2'
_cell_length_a 11.2080
_cell_length_b 11.2080
_cell_length_c 3.4944
_cell_angle_alpha 90.00
_cell_angle_beta 90.00
_cell_angle_gamma 120.00
loop_
_atom_site_label
_atom_site_type_symbol
_atom_site_fract_x
_atom_site_fract_y
_atom_site_fract_z
_atom_site_occupancy
Tb1 Tb 0.3333 0.6667 0.0000 1
Dy1 Dy 0.0000 0.5000 0.0000 1
Dy2 Dy 0.1758 0.3516 0.5000 1
Y1 Y 0.0000 0.0000 0.0000 1
```

Tb3Dy4Y5: optimized geometry, GGA-PBE.

Magnetization (μB per formula unit): 0.000
Formation energy (eV per atom): 0.020

```
data_Tb3Dy4Y5
_symmetry_space_group_name_H-M 'P -1'
_symmetry_Int_Tables_number 2
_symmetry_space_group_name_Hall '-P 1'
_cell_length_a 6.161
_cell_length_b 7.121
_cell_length_c 8.710
_cell_angle_alpha 90.02
_cell_angle_beta 90.08
_cell_angle_gamma 90.13
loop_
_atom_site_label
_atom_site_type_symbol
_atom_site_fract_x
_atom_site_fract_y
_atom_site_fract_z
_atom_site_occupancy
Tb1 Tb 0.000 0.000 0.000 1
Tb2 Tb 0.166 0.749 0.667 1
Dy1 Dy 0.167 0.251 0.667 1
Dy2 Dy 0.333 0.500 0.335 1
Y1 Y 0.000 0.500 0.000 1
Y2 Y 0.332 0.000 0.334 1
Y3 Y 0.500 0.250 0.000 1
```